DFT (PBE) results for a relaxed BeCoNi2 crystal.

Calculated values
energy of formation = -0.12 eV per atom
total energy = -0.4200 Ry per atom
space group = No. 8
crystal system = monoclinic

The structure in POSCAR format:
```
BeCoNi2
1.0
8.419 0.000 0.000
0.000 2.546 0.000
-1.426 0.000 3.743
Be Co Ni
2 2 4
direct
0.000 0.000 0.000
0.500 0.500 0.000
0.232 0.500 0.277
0.732 0.000 0.277
0.269 0.000 0.808
0.496 0.000 0.504
0.769 0.500 0.808
0.996 0.500 0.504
```

=====

DFT (PBE) results for a relaxed SrOsAu2 crystal.

Calculated values
energy of formation = 0.43 eV per atom
total energy = -0.3262 Ry per atom
ΔE to the lowest computed polymorph = 96.2 meV/atom
space group = No. 25
crystal system = orthorhombic

The structure in POSCAR format:
```
SrOsAu2
1.0
2.839 0.000 0.000
0.000 4.544 0.000
0.000 0.000 6.354
Sr Os Au
1 1 2
direct
0.000 0.000 0.000
0.500 0.500 0.690
0.000 0.000 0.534
0.500 0.500 0.260
```

=====

DFT (PBE) results for a relaxed La3CoSn crystal.

Calculated values
energy of formation = -0.42 eV per atom
total energy = -0.4117 Ry per atom
ΔE to the lowest computed polymorph = 24.1 meV/atom
space group = No. 11
crystal system = monoclinic

The structure in POSCAR format:
```
La3CoSn
1.0
6.019 0.000 0.000
0.000 7.179 0.000
-1.414 0.000 6.721
La Co Sn
6 2 2
direct
0.096 0.250 0.161
0.370 0.018 0.725
0.370 0.482 0.725
0.630 0.518 0.275
0.630 0.982 0.275
0.904 0.750 0.839
0.324 0.750 0.996
0.676 0.250 0.004
0.133 0.750 0.321
0.867 0.250 0.679
```